DFT (GGA-PBE) results for Nd6GeN2Cl3 after structural relaxation.

Structure (POSCAR):
```
Nd6GeN2Cl3
1.0
9.1294 -1.9412 0.0000
9.1294 1.9412 0.0000
-2.7675 0.0000 7.9049
Nd Ge N Cl
6 1 2 3
Cartesian
-0.1858 0.0000 2.0472
4.5388 0.0000 3.5400
3.6826 0.0000 6.8261
11.8088 0.0000 1.0788
10.9526 0.0000 4.3649
15.6771 0.0000 5.8577
9.1294 0.0000 0.0000
2.2205 0.0000 2.6960
13.2709 0.0000 5.2089
0.6963 0.0000 6.5346
7.7457 0.0000 3.9525
14.7950 0.0000 1.3703
```

Summary:
DOS(E_F): 0.40 states/eV per atom
Energy relative to the elements, uncorrected: -1.39 eV per atom